[1]
The following is a DFT calculation (PBE) of a geometry-optimized Ba2FeTc structure.

size of the total moment = 0.008 μB/f.u.
ΔE to the lowest computed polymorph = 0 meV/atom
energy of formation = 0.38 eV/atom

Unit cell a=7.0049 b=4.0439 c=9.5495 alpha=90.00 beta=103.91 gamma=90.00
Space group Cm (No. 8)
One atom of each set of equivalent atoms:
1 Ba 0.0000 0.0000 0.0000 (multiplicity 2)
2 Ba 0.1744 0.0000 0.5302 (multiplicity 2)
3 Fe 0.4250 0.0000 0.2793 (multiplicity 2)
4 Tc 0.2507 0.5000 0.2560 (multiplicity 2)



[2]
The following is a DFT calculation (PBE) of a geometry-optimized BaFeTc2Te structure.

size of the total moment = 2.259 μB/f.u.
formation energy (no corrections) = 1.209 eV per atom

Unit cell a=5.0375 b=5.0375 c=4.7585 alpha=90.00 beta=90.00 gamma=90.00
Space group P4/mmm (No. 123)
One atom of each set of equivalent atoms:
1 Ba 0.0000 0.0000 0.0000 (multiplicity 1)
2 Fe 0.5000 0.5000 0.0000 (multiplicity 1)
3 Tc 0.0000 0.5000 0.5000 (multiplicity 2)
4 Te 0.5000 0.5000 0.5000 (multiplicity 1)



[3]
The following is a DFT calculation (PBE) of a geometry-optimized BaVFeTc2 structure.

size of the total moment = 0.836 μB/f.u.
energy of formation = 1.85 eV/atom

Unit cell a=4.5252 b=4.5252 c=5.4998 alpha=90.00 beta=90.00 gamma=90.00
Space group P4/mmm (No. 123)
One atom of each set of equivalent atoms:
1 Ba 0.0000 0.0000 0.0000 (multiplicity 1)
2 V 0.0000 0.0000 0.5000 (multiplicity 1)
3 Fe 0.5000 0.5000 0.0000 (multiplicity 1)
4 Tc 0.0000 0.5000 0.5000 (multiplicity 2)



[4]
The following is a DFT calculation (PBE) of a geometry-optimized BaVFe2Tc structure.

size of the total moment = 4.002 μB/f.u.
energy of formation = 0.91 eV/atom

Unit cell a=4.6853 b=4.6853 c=4.5998 alpha=90.00 beta=90.00 gamma=90.00
Space group P4/mmm (No. 123)
One atom of each set of equivalent atoms:
1 Ba 0.0000 0.0000 0.0000 (multiplicity 1)
2 V 0.5000 0.5000 0.5000 (multiplicity 1)
3 Fe 0.0000 0.5000 0.5000 (multiplicity 2)
4 Tc 0.5000 0.5000 0.0000 (multiplicity 1)



[5]
The following is a DFT calculation (PBE) of a geometry-optimized Ba2YFeTc structure.

size of the total moment = 3.185 μB/f.u.
energy of formation = 0.93 eV/atom

Unit cell a=5.8156 b=5.8156 c=5.3643 alpha=90.00 beta=90.00 gamma=90.00
Space group P4/mmm (No. 123)
One atom of each set of equivalent atoms:
1 Ba 0.0000 0.5000 0.0000 (multiplicity 2)
2 Y 0.0000 0.0000 0.5000 (multiplicity 1)
3 Fe 0.5000 0.5000 0.5000 (multiplicity 1)
4 Tc 0.0000 0.0000 0.0000 (multiplicity 1)



[6]
The following is a DFT calculation (PBE) of a geometry-optimized BaFeTe structure.

size of the total moment = 2.171 μB/f.u.
ΔE to the lowest computed polymorph = 359 meV/atom
formation energy (no corrections) = -0.036 eV per atom

Unit cell a=6.9734 b=6.9734 c=6.9734 alpha=90.00 beta=90.00 gamma=90.00
Space group F-43m (No. 216)
One atom of each set of equivalent atoms:
1 Ba 0.0000 0.0000 0.0000 (multiplicity 4)
2 Fe 0.2500 0.2500 0.7500 (multiplicity 4)
3 Te 0.0000 0.0000 0.5000 (multiplicity 4)



[7]
The following is a DFT calculation (PBE) of a geometry-optimized BaFe2Te structure.

size of the total moment = 4.216 μB/f.u.
formation energy (no corrections) = 0.301 eV per atom

Unit cell a=3.9314 b=6.3692 c=8.4379 alpha=90.00 beta=90.00 gamma=90.00
Space group Imm2 (No. 44)
One atom of each set of equivalent atoms:
1 Ba 0.0000 0.0000 0.0000 (multiplicity 2)
2 Fe 0.0000 0.0000 0.5158 (multiplicity 2)
3 Fe 0.0000 0.5000 0.1622 (multiplicity 2)
4 Te 0.0000 0.5000 0.8291 (multiplicity 2)



[8]
The following is a DFT calculation (PBE) of a geometry-optimized Ba2FeTe structure.

size of the total moment = 2.113 μB/f.u.
formation energy (no corrections) = -0.327 eV per atom

Unit cell a=4.6796 b=4.8406 c=12.6882 alpha=90.00 beta=90.00 gamma=90.00
Space group Amm2 (No. 38)
One atom of each set of equivalent atoms:
1 Ba 0.0000 0.0000 0.0000 (multiplicity 2)
2 Ba 0.5000 0.0000 0.2836 (multiplicity 2)
3 Fe 0.5000 0.0000 0.5724 (multiplicity 2)
4 Te 0.0000 0.0000 0.7043 (multiplicity 2)



[9]
The following is a DFT calculation (PBE) of a geometry-optimized BaFeTe3 structure.

size of the total moment = 1.305 μB/f.u.
ΔE to the lowest computed polymorph = 1307 meV/atom
formation energy (no corrections) = 0.938 eV per atom

Unit cell a=6.5208 b=6.5208 c=6.5208 alpha=90.00 beta=90.00 gamma=90.00
Space group Pm-3m (No. 221)
One atom of each set of equivalent atoms:
1 Ba 0.0000 0.0000 0.0000 (multiplicity 1)
2 Fe 0.5000 0.5000 0.5000 (multiplicity 1)
3 Te 0.0000 0.0000 0.5000 (multiplicity 3)



[10]
The following is a DFT calculation (PBE) of a geometry-optimized BaFe2Te structure.

size of the total moment = 4.078 μB/f.u.
formation energy (no corrections) = 0.186 eV per atom

Unit cell a=4.9716 b=4.9716 c=17.8006 alpha=90.00 beta=90.00 gamma=90.00
Space group I4_1/amd (No. 141, origin choice 2)
One atom of each set of equivalent atoms:
1 Ba 0.0000 0.2500 0.3750 (multiplicity 4)
2 Fe 0.0000 0.0000 0.0000 (multiplicity 8)
3 Te 0.0000 0.2500 0.8750 (multiplicity 4)



[11]
The following is a DFT calculation (PBE) of a geometry-optimized BaFe4Te structure.

size of the total moment = 10.801 μB/f.u.
formation energy (no corrections) = 0.477 eV per atom

Unit cell a=7.6294 b=7.6294 c=7.6294 alpha=90.00 beta=90.00 gamma=90.00
Space group F-43m (No. 216)
One atom of each set of equivalent atoms:
1 Ba 0.0000 0.0000 0.0000 (multiplicity 4)
2 Fe 0.1290 0.1290 0.6290 (multiplicity 16)
3 Te 0.2500 0.2500 0.2500 (multiplicity 4)



[12]
The following is a DFT calculation (PBE) of a geometry-optimized BaFe2Te structure.

size of the total moment = 5.580 μB/f.u.
formation energy (no corrections) = 0.221 eV per atom

Unit cell a=3.4972 b=3.4972 c=7.6548 alpha=90.00 beta=90.00 gamma=90.00
Space group P4mm (No. 99)
One atom of each set of equivalent atoms:
1 Ba 0.0000 0.0000 0.0000 (multiplicity 1)
2 Fe 0.0000 0.0000 0.4374 (multiplicity 1)
3 Fe 0.5000 0.5000 0.3241 (multiplicity 1)
4 Te 0.5000 0.5000 0.6593 (multiplicity 1)